# 1
VASP calculation (PBE) on Rb2SeOF6 after structural relaxation.

Cell lengths 6.276, 6.276, 6.536 Å; angles 61.31, 61.31, 90.00 degrees
Positions (direct):
1 O 0.500 0.500 0.000
2 Se 0.000 0.000 0.000
3 Rb 0.750 0.250 0.500
4 Rb 0.250 0.750 0.500
5 F 0.204 0.204 0.592
6 F 0.796 0.796 0.408
7 F 0.220 0.220 0.000
8 F 0.780 0.780 0.000
9 F 0.780 0.220 0.000
10 F 0.220 0.780 0.000

Calculated values
**Symmetry**: I4/mmm (139)
**N(E_F)**: 0.000 states/eV per atom
**Total magnetic moment**: 2.0 μB per cell
**Uncorrected energy**: -3.9081 eV/atom


# 2
VASP calculation (PBE) on Rb12SeO3F4 after structural relaxation.

Cell lengths 9.090, 9.090, 9.090 Å; angles 109.47, 109.47, 109.47 degrees
Positions (direct):
1 Rb 0.313 0.824 0.137
2 Rb 0.687 0.176 0.863
3 Rb 0.687 0.824 0.511
4 Rb 0.863 0.687 0.176
5 Rb 0.824 0.137 0.313
6 Rb 0.176 0.489 0.313
7 Rb 0.489 0.313 0.176
8 Rb 0.176 0.863 0.687
9 Rb 0.313 0.176 0.489
10 Rb 0.137 0.313 0.824
11 Rb 0.824 0.511 0.687
12 Rb 0.511 0.687 0.824
13 Se 0.000 0.000 0.000
14 O 0.000 0.500 0.500
15 O 0.500 0.500 0.000
16 O 0.500 0.000 0.500
17 F 0.500 0.000 0.000
18 F 0.500 0.500 0.500
19 F 0.000 0.500 0.000
20 F 0.000 0.000 0.500

Calculated values
**Symmetry**: Im-3 (204)
**Total magnetic moment**: 0.3 μB per cell
**Uncorrected energy**: -3.4798 eV/atom